No. 1
Material: Ba2TlPt2
Method: DFT, GGA-PBE
State: relaxed

Geometry as POSCAR:
```
Ba2TlPt2
1.0
6.262 0.000 0.000
0.000 6.262 0.000
3.131 3.131 4.098
Tl Ba Pt
1 2 2
direct
0.000 0.000 0.000 Tl
0.750 0.250 0.500 Ba
0.250 0.750 0.500 Ba
0.338 0.338 0.324 Pt
0.662 0.662 0.676 Pt
```

Results
calculated total energy: -20.9 eV per formula unit
symmetry: No. 139
calculated volume: 32.14 Å³/atom

=====

No. 2
Material: Ba2Tl5Pt3
Method: DFT, GGA-PBE
State: relaxed

Geometry as POSCAR:
```
Ba2Tl5Pt3
1.0
6.972 0.000 0.000
3.486 9.262 0.755
3.486 2.174 9.035
Ba Tl Pt
4 10 6
direct
0.111 0.658 0.119 Ba
0.611 0.119 0.658 Ba
0.889 0.342 0.881 Ba
0.389 0.881 0.342 Ba
0.379 0.239 0.004 Tl
0.879 0.004 0.239 Tl
0.621 0.761 0.996 Tl
0.121 0.996 0.761 Tl
0.525 0.725 0.725 Tl
0.475 0.275 0.275 Tl
0.750 0.500 0.500 Tl
0.250 0.500 0.500 Tl
0.975 0.275 0.275 Tl
0.025 0.725 0.725 Tl
0.387 0.482 0.745 Pt
0.887 0.745 0.482 Pt
0.613 0.518 0.255 Pt
0.113 0.255 0.518 Pt
0.250 0.000 0.000 Pt
0.750 0.000 0.000 Pt
```

Results
distance to the lowest polymorph of the same formula: 18.8 meV per atom
calculated total energy: -37.5 eV per formula unit
symmetry: No. 72
calculated volume: 28.60 Å³/atom

=====

No. 3
Material: BaTlPt2
Method: DFT, GGA-PBE
State: relaxed

Geometry as POSCAR:
```
BaTlPt2
1.0
4.400 0.000 -1.184
0.000 7.900 0.000
-0.514 0.000 6.839
Ba Tl Pt
2 2 4
direct
0.910 0.750 0.818 Ba
0.090 0.250 0.182 Ba
0.629 0.750 0.258 Tl
0.371 0.250 0.742 Tl
0.238 0.583 0.476 Pt
0.762 0.417 0.524 Pt
0.762 0.083 0.524 Pt
0.238 0.917 0.476 Pt
```

Results
calculated total energy: -18.1 eV per formula unit
symmetry: No. 63
calculated volume: 29.11 Å³/atom

=====

No. 4
Material: BaTlPt
Method: DFT, GGA-PBE
State: relaxed

Geometry as POSCAR:
```
BaTlPt
1.0
-0.465 3.331 3.919
-3.722 -0.657 3.519
1.214 -1.473 4.799
Tl Ba Pt
1 1 1
direct
0.000 0.000 0.000 Tl
0.500 0.500 0.500 Ba
0.750 0.750 0.750 Pt
```

Results
calculated total energy: -11.7 eV per formula unit
symmetry: No. 216
calculated volume: 32.47 Å³/atom

=====

No. 5
Material: BaTl2Pt
Method: DFT, GGA-PBE
State: relaxed

Geometry as POSCAR:
```
BaTl2Pt
1.0
-3.783 2.627 -5.078
-1.070 -0.873 -6.715
-5.003 -1.867 -4.300
Tl Ba Pt
2 1 1
direct
0.032 0.032 0.032 Tl
0.468 0.468 0.468 Tl
0.250 0.250 0.250 Ba
0.750 0.750 0.750 Pt
```

Results
calculated total energy: -14.0 eV per formula unit
symmetry: No. 166
calculated volume: 30.36 Å³/atom

=====

No. 6
Material: BaTlPt2
Method: DFT, GGA-PBE
State: relaxed

Geometry as POSCAR:
```
BaTlPt2
1.0
5.818 0.001 0.000
2.421 5.290 0.000
-4.119 -2.645 3.143
Tl Ba Pt
1 1 2
direct
0.500 0.500 0.000 Tl
0.750 0.250 0.500 Ba
0.000 0.000 0.000 Pt
0.250 0.750 0.500 Pt
```

Results
calculated total energy: -16.9 eV per formula unit
symmetry: No. 119
calculated volume: 24.19 Å³/atom

=====

No. 7
Material: Ba6TlPt2
Method: DFT, GGA-PBE
State: relaxed

Geometry as POSCAR:
```
Ba6TlPt2
1.0
-7.718 2.256 1.815
-3.189 -1.793 7.386
-1.073 6.744 5.774
Ba Tl Pt
6 1 2
direct
0.527 0.234 0.360 Ba
0.234 0.879 0.360 Ba
0.879 0.527 0.360 Ba
0.359 0.686 0.857 Ba
0.686 0.098 0.857 Ba
0.098 0.359 0.857 Ba
0.791 0.791 0.628 Tl
0.290 0.290 0.130 Pt
0.471 0.471 0.586 Pt
```

Results
calculated total energy: -30.2 eV per formula unit
symmetry: No. 146
calculated volume: 49.50 Å³/atom

=====

No. 8
Material: BaTlPt2
Method: DFT, GGA-PBE
State: relaxed

Geometry as POSCAR:
```
BaTlPt2
1.0
-0.720 -2.198 3.988
-0.536 -4.118 -2.366
5.062 -1.999 -0.187
Tl Ba Pt
1 1 2
direct
0.000 0.324 0.466 Tl
0.500 0.766 0.827 Ba
0.000 0.228 0.972 Pt
0.500 0.181 0.235 Pt
```

Results
calculated total energy: -18.0 eV per formula unit
symmetry: No. 6
calculated volume: 29.20 Å³/atom

=====

No. 9
Material: BaTl2Pt
Method: DFT, GGA-PBE
State: relaxed

Geometry as POSCAR:
```
BaTl2Pt
1.0
0.000 3.785 3.785
3.785 0.000 3.785
3.785 3.785 0.000
Tl Ba Pt
2 1 1
direct
0.250 0.250 0.250 Tl
0.750 0.750 0.750 Tl
0.000 0.000 0.000 Ba
0.500 0.500 0.500 Pt
```

Results
calculated total energy: -13.4 eV per formula unit
symmetry: No. 225
calculated volume: 27.12 Å³/atom

=====

No. 10
Material: BaTl2Pt
Method: DFT, GGA-PBE
State: relaxed

Geometry as POSCAR:
```
BaTl2Pt
1.0
6.208 0.000 0.000
0.000 8.671 0.000
0.000 0.000 17.105
Ba Tl Pt
8 16 8
direct
0.471 0.250 0.141 Ba
0.971 0.750 0.359 Ba
0.529 0.750 0.859 Ba
0.029 0.250 0.641 Ba
0.768 0.250 0.396 Ba
0.268 0.750 0.104 Ba
0.232 0.750 0.604 Ba
0.732 0.250 0.896 Ba
0.980 0.054 0.214 Tl
0.480 0.946 0.286 Tl
0.020 0.554 0.786 Tl
0.520 0.446 0.714 Tl
0.020 0.946 0.786 Tl
0.520 0.054 0.714 Tl
0.980 0.446 0.214 Tl
0.480 0.554 0.286 Tl
0.767 0.554 0.039 Tl
0.267 0.446 0.461 Tl
0.233 0.054 0.961 Tl
0.733 0.946 0.539 Tl
0.233 0.446 0.961 Tl
0.733 0.554 0.539 Tl
0.767 0.946 0.039 Tl
0.267 0.054 0.461 Tl
0.268 0.250 0.324 Pt
0.768 0.750 0.176 Pt
0.732 0.750 0.676 Pt
0.232 0.250 0.824 Pt
0.982 0.250 0.073 Pt
0.482 0.750 0.427 Pt
0.018 0.750 0.927 Pt
0.518 0.250 0.573 Pt
```

Results
calculated total energy: -14.4 eV per formula unit
symmetry: No. 62
calculated volume: 28.77 Å³/atom

=====

Number 1: energy relative to the elements -0.522 eV/atom. Number 2: energy relative to the elements -0.370 eV/atom. Number 3: energy relative to the elements -0.438 eV/atom. Number 4: energy relative to the elements -0.444 eV/atom. Number 5: energy relative to the elements -0.324 eV/atom. Number 6: energy relative to the elements -0.122 eV/atom. Number 7: energy relative to the elements -0.465 eV/atom. Number 8: energy relative to the elements -0.409 eV/atom. Number 9: energy relative to the elements -0.180 eV/atom. Number 10: energy relative to the elements -0.426 eV/atom.